(1)
DFT (PBE) results for crystalline Na2PuInCl6 at its relaxed geometry.

Geometry as POSCAR:
```
Na2PuInCl6
1.0
3.624 2.092 6.652
-3.624 2.092 6.652
0.000 -4.185 6.652
Na Pu In Cl
2 1 1 6
Direct
0.000 0.000 0.000
0.487 0.487 0.487
0.683 0.683 0.683
0.200 0.200 0.200
0.073 0.421 0.764
0.287 0.852 0.640
0.421 0.764 0.073
0.640 0.287 0.852
0.764 0.073 0.421
0.852 0.640 0.287
```

(2)
DFT (PBE) results for crystalline NaPuInCl6 at its relaxed geometry.

Geometry as POSCAR:
```
NaPuInCl6
1.0
6.659 0.000 0.000
0.000 6.659 0.000
0.000 0.000 12.902
Na Pu In Cl
2 2 2 12
Direct
0.000 0.000 0.000
0.500 0.500 0.500
0.000 0.000 0.667
0.500 0.500 0.167
0.000 0.000 0.330
0.500 0.500 0.830
0.184 0.184 0.821
0.190 0.190 0.516
0.219 0.219 0.161
0.281 0.719 0.661
0.310 0.690 0.016
0.316 0.684 0.321
0.684 0.316 0.321
0.690 0.310 0.016
0.719 0.281 0.661
0.781 0.781 0.161
0.810 0.810 0.516
0.816 0.816 0.821
```

Let's list calculated total energy in order: -4.722, -4.808 eV per atom.